<a>
# CuSiNi6 | Alexandria | GGA-PBE | optimized geometry
data_CuSiNi6
_cell_length_a 6.805
_cell_length_b 4.769
_cell_length_c 6.354
_cell_angle_alpha 90.00
_cell_angle_beta 107.50
_cell_angle_gamma 90.00
_symmetry_space_group_name_H-M 'C 1 2/m 1'
_symmetry_Int_Tables_number 12
loop_
_symmetry_equiv_pos_as_xyz
'x,y,z'
'-x,-y,-z'
'-x,y,-z'
'x,-y,z'
'x+1/2,y+1/2,z'
'-x+1/2,-y+1/2,-z'
'-x+1/2,y+1/2,-z'
'x+1/2,-y+1/2,z'
loop_
_atom_site_label
_atom_site_type_symbol
_atom_site_fract_x
_atom_site_fract_y
_atom_site_fract_z
Cu1 Cu 0.000 0.000 0.000
Si1 Si 0.000 0.500 0.500
Ni1 Ni 0.132 0.500 0.923
Ni2 Ni 0.204 0.261 0.305
# DOS(E_F): 24.3 states/eV/cell

=====

<b>
# CuSiNi6 | Alexandria | GGA-PBE | optimized geometry
data_CuSiNi6
_cell_length_a 7.041
_cell_length_b 9.968
_cell_length_c 9.971
_cell_angle_alpha 90.00
_cell_angle_beta 90.00
_cell_angle_gamma 90.00
_symmetry_space_group_name_H-M 'C m m m'
_symmetry_Int_Tables_number 65
_symmetry_space_group_name_Hall '-C 2 2'
loop_
_atom_site_label
_atom_site_type_symbol
_atom_site_fract_x
_atom_site_fract_y
_atom_site_fract_z
Cu1 Cu 0.000 0.000 0.249
Cu2 Cu 0.000 0.247 0.000
Si1 Si 0.000 0.246 0.500
Si2 Si 0.000 0.500 0.248
Ni1 Ni 0.000 0.000 0.000
Ni2 Ni 0.000 0.000 0.500
Ni3 Ni 0.000 0.252 0.254
Ni4 Ni 0.000 0.500 0.000
Ni5 Ni 0.000 0.500 0.500
Ni6 Ni 0.246 0.374 0.377
Ni7 Ni 0.246 0.376 0.127
# DOS(E_F): 72.0 states/eV/cell

=====

Energy ordering: <b> at the bottom, the next structure 268 meV/atom above.